Record 1
K2HoCd2O4 | GGA-PBE | optimized geometry

Structure (POSCAR):
```
K2HoCd2O4
1.0
3.466 0.000 0.000
-1.733 6.960 -3.641
0.000 -5.102 9.768
O K Cd Ho
4 2 2 1
direct
0.245 0.490 0.220
0.457 0.914 0.816
0.543 0.086 0.184
0.755 0.510 0.780
0.867 0.733 0.523
0.133 0.267 0.477
0.296 0.592 0.951
0.704 0.408 0.049
0.000 0.000 0.000
```

Output
Space group ... C2/m (12)
Energy ... -4.8773 eV per atom

Record 2
KHoCdPb | GGA-PBE | optimized geometry

Structure (POSCAR):
```
KHoCdPb
1.0
-2.219 -3.210 3.957
1.041 -5.459 0.058
3.240 -2.170 3.960
Cd Pb Ho K
1 1 1 1
direct
0.000 0.000 0.000
0.500 0.500 0.500
0.750 0.750 0.750
0.250 0.250 0.250
```

Output
Space group ... F-43m (216)
Formation energy from the elements ... -121 meV/atom
Energy ... -2.6955 eV per atom

Record 3
K2HoCd2Se4 | GGA-PBE | optimized geometry

Structure (POSCAR):
```
K2HoCd2Se4
1.0
4.172 0.000 0.000
0.000 8.342 -0.073
-2.086 -3.360 7.612
Se K Ho Cd
4 2 1 2
direct
0.188 0.229 0.375
0.480 0.225 0.960
0.520 0.775 0.040
0.812 0.771 0.625
0.874 0.439 0.748
0.126 0.561 0.252
0.000 0.000 0.000
0.688 0.018 0.375
0.312 0.982 0.625
```

Output
Space group ... C2/m (12)
Energy ... -3.5942 eV per atom

Record 4
KHoCdSe3 | GGA-PBE | optimized geometry

Structure (POSCAR):
```
KHoCdSe3
1.0
-2.821 1.847 2.584
-4.406 -7.738 0.721
7.008 0.270 7.459
Ho Cd K Se
2 2 2 6
direct
0.250 0.670 0.135
0.750 0.330 0.865
0.250 0.085 0.610
0.750 0.915 0.390
0.250 0.213 0.230
0.750 0.787 0.770
0.250 0.109 0.871
0.250 0.539 0.849
0.750 0.234 0.546
0.750 0.461 0.151
0.250 0.766 0.454
0.750 0.891 0.129
```

Output
Space group ... P2_1/m (11)
Energy ... -4.1706 eV per atom

Record 5
K2HoCd2Te4 | GGA-PBE | optimized geometry

Structure (POSCAR):
```
K2HoCd2Te4
1.0
4.449 0.000 0.000
0.000 8.825 -0.066
-2.225 -3.542 7.974
K Cd Te Ho
2 2 4 1
direct
0.126 0.570 0.252
0.874 0.430 0.748
0.310 0.988 0.620
0.690 0.012 0.380
0.519 0.768 0.037
0.191 0.230 0.382
0.481 0.232 0.963
0.809 0.770 0.618
0.000 0.000 0.000
```

Output
Space group ... C2/m (12)
Energy ... -3.2118 eV per atom

Record 6
LaHo2Cd3 | GGA-PBE | optimized geometry

Structure (POSCAR):
```
LaHo2Cd3
1.0
3.765 0.000 0.000
0.000 3.765 0.000
0.000 0.000 11.584
Cd La Ho
3 1 2
direct
0.000 0.000 0.313
0.000 0.000 0.687
0.000 0.000 0.000
0.500 0.500 0.500
0.500 0.500 0.840
0.500 0.500 0.160
```

Output
Space group ... P4/mmm (123)
Formation energy from the elements ... -316 meV/atom
Energy ... -3.1206 eV per atom

Q: energy of number 4 (KHoCdSe3)?
A: -4.1706 eV per atom

Q: The lowest energy belongs to which entry?
A: K2HoCd2O4

Q: Look up the energy of the fourth one.
A: -4.1706 eV per atom

What did the third record say?
K2HoCd2Se4 | GGA-PBE | optimized geometry

Structure (POSCAR):
```
K2HoCd2Se4
1.0
4.172 0.000 0.000
0.000 8.342 -0.073
-2.086 -3.360 7.612
Se K Ho Cd
4 2 1 2
direct
0.188 0.229 0.375
0.480 0.225 0.960
0.520 0.775 0.040
0.812 0.771 0.625
0.874 0.439 0.748
0.126 0.561 0.252
0.000 0.000 0.000
0.688 0.018 0.375
0.312 0.982 0.625
```

Output
Space group ... C2/m (12)
Energy ... -3.5942 eV per atom